[1]
Crystalline Sr3V2ZnO9 at its relaxed geometry, computed with GGA+U.

Cell lengths 5.5494, 5.5494, 6.8358 Å; angles 90.00, 90.00, 120.00 degrees
Last column: nearest neighbours and their distance in Å.
Space group P-3m1 (No. 164)
One atom of each set of equivalent atoms:
Sr (0.0000, 0.0000, 0.0000) x1  12 O 2.75-2.77
Sr (0.3333, 0.6667, 0.6775) x2  12 O 2.73-2.88
V (0.3333, 0.6667, 0.1777) x2  6 O 1.82-2.01
Zn (0.0000, 0.0000, 0.5000) x1  6 O 2.07
O (0.0000, 0.5000, 0.0000) x3  2 V 2.01
O (0.1736, 0.3473, 0.3206) x6  1 V 1.82

Results
Calculated total energy   -6.7179 eV/atom
Magnetic moment   0.0 μB per formula unit
ρ   5.229 Mg/m³


[2]
Crystalline Sr2VZnO5 at its relaxed geometry, computed with GGA+U.

Cell lengths 3.2817, 14.2230, 10.4041 Å; angles 90.00, 90.00, 90.00 degrees
Last column: nearest neighbours and their distance in Å.
Space group Cmc2_1 (No. 36)
One atom of each set of equivalent atoms:
Sr (0.0000, 0.1100, 0.0000) x4  5 O 2.48-2.64
Sr (0.0000, 0.1317, 0.6040) x4  8 O 2.48-2.73
V (0.0000, 0.2182, 0.3231) x4  1 O 1.81
Zn (0.0000, 0.4493, 0.7638) x4  3 O 1.91-1.95
O (0.0000, 0.0771, 0.3576) x4  2 Zn 1.95, 1 V 2.04
O (0.0000, 0.2807, 0.9468) x4  2 V 2.09
O (0.0000, 0.3014, 0.6981) x4  2 V 2.11, 1 Zn 2.21
O (0.0000, 0.3449, 0.3116) x4  1 V 1.81
O (0.0000, 0.4991, 0.0947) x4  1 Zn 1.91

Results
Calculated total energy   -6.3384 eV/atom
Magnetic moment   1.0 μB per formula unit
ρ   5.083 Mg/m³


[3]
Crystalline SrZrV2O8 at its relaxed geometry, computed with GGA+U.

Cell lengths 5.7103, 5.7103, 6.9766 Å; angles 90.00, 90.00, 120.00 degrees
Last column: nearest neighbours and their distance in Å.
Space group P-3m1 (No. 164)
One atom of each set of equivalent atoms:
Sr (0.0000, 0.0000, 0.0000) x1  6 O 2.68
Zr (0.0000, 0.0000, 0.5000) x1  6 O 2.10
V (0.3333, 0.6667, 0.7705) x2  4 O 1.66-1.77
O (0.1630, 0.3259, 0.6936) x6  1 V 1.77
O (0.3333, 0.6667, 0.0087) x2  1 V 1.66

Results
Calculated total energy   -7.9033 eV/atom
Magnetic moment   0.0 μB per formula unit
ρ   3.445 Mg/m³


[4]
Crystalline Sr3ZrV2O9 at its relaxed geometry, computed with GGA+U.

Cell lengths 5.6794, 5.6794, 6.9049 Å; angles 90.00, 90.00, 120.00 degrees
Last column: nearest neighbours and their distance in Å.
Space group P-3m1 (No. 164)
One atom of each set of equivalent atoms:
Sr (0.0000, 0.0000, 0.0000) x1  12 O 2.79-2.84
Sr (0.3333, 0.6667, 0.6812) x2  12 O 2.74-2.95
Zr (0.0000, 0.0000, 0.5000) x1  6 O 2.09
V (0.3333, 0.6667, 0.1610) x2  6 O 1.94-1.98
O (0.0000, 0.5000, 0.0000) x3  2 V 1.98
O (0.1717, 0.3434, 0.3221) x6  1 V 1.94, 1 Zr 2.09

Results
Calculated total energy   -7.5941 eV/atom
Magnetic moment   2.0 μB per formula unit
ρ   5.165 Mg/m³


[5]
Crystalline SrW2O8 at its relaxed geometry, computed with GGA+U.

Cell lengths 4.8156, 4.8156, 6.1928 Å; angles 90.00, 90.00, 90.00 degrees
Last column: nearest neighbours and their distance in Å.
Space group P4/mmm (No. 123)
One atom of each set of equivalent atoms:
Sr (0.0000, 0.0000, 0.0000) x1  8 O 2.57
W (0.0000, 0.5000, 0.5000) x2  8 O 2.07
O (0.2500, 0.2500, 0.3105) x8  2 W 2.07

Results
Calculated total energy   -6.6151 eV/atom
Magnetic moment   0.3 μB per formula unit
ρ   6.744 Mg/m³


[6]
Crystalline Sr4W6O19 at its relaxed geometry, computed with GGA+U.

Cell lengths 9.4718, 9.4718, 9.4718 Å; angles 90.00, 90.00, 90.00 degrees
Last column: nearest neighbours and their distance in Å.
Space group I23 (No. 197)
One atom of each set of equivalent atoms:
Sr (0.1447, 0.1447, 0.1447) x8  4 O 2.37-2.65
W (0.0000, 0.1392, 0.5000) x12  6 O 1.94-2.04
O (0.0000, 0.0000, 0.0000) x2  4 Sr 2.37
O (0.0000, 0.0000, 0.3352) x12  2 W 2.04
O (0.0012, 0.2956, 0.3522) x24  2 W 1.94-2.04

Results
Calculated total energy   -7.2677 eV/atom
Magnetic moment   0.0 μB per formula unit
ρ   6.869 Mg/m³


[7]
Crystalline Sr3W2O9 at its relaxed geometry, computed with GGA+U.

Cell lengths 9.9245, 9.9245, 13.8301 Å; angles 90.00, 90.00, 120.00 degrees
Last column: nearest neighbours and their distance in Å.
Space group R-3c (No. 167, hexagonal axes)
One atom of each set of equivalent atoms:
Sr (0.0000, 0.3248, 0.2500) x18  12 O 2.73-3.00
W (0.0000, 0.0000, 0.1435) x12  3 O 1.85
O (0.0000, 0.1504, 0.7500) x18  2 W 2.10
O (0.0066, 0.1723, 0.4129) x36  1 W 1.85

Results
Calculated total energy   -7.0861 eV/atom
Magnetic moment   0.0 μB per formula unit
ρ   6.541 Mg/m³


[8]
Crystalline SrWO6 at its relaxed geometry, computed with GGA+U.

Cell lengths 8.9054, 8.9054, 8.9054 Å; angles 90.00, 90.00, 90.00 degrees
Last column: nearest neighbours and their distance in Å.
Space group Fm-3m (No. 225)
One atom of each set of equivalent atoms:
Sr (0.0000, 0.0000, 0.0000) x4  6 O 2.52
W (0.0000, 0.0000, 0.5000) x4  6 O 1.93
O (0.0000, 0.0000, 0.2832) x24  1 W 1.93

Results
Calculated total energy   -6.0610 eV/atom
Magnetic moment   4.0 μB per formula unit
ρ   3.456 Mg/m³